# 1
Be2TlBi2: relaxed, PBE-GGA.

The calculated formation energy is 0.267 eV per atom. As for the total magnetic moment: 0.0 μB/cell. The value obtained for the volume is 125.3 Å³ per cell. The space group is I4/mmm (139).

The structure in CIF format:
```
data_Be2TlBi2
_chemical_formula_sum 'Be2 Tl1 Bi2'
_symmetry_space_group_name_H-M 'P 1'
_symmetry_Int_Tables_number 1
_cell_length_a 3.851
_cell_length_b 3.851
_cell_length_c 8.875
_cell_angle_alpha 77.47
_cell_angle_beta 77.47
_cell_angle_gamma 90.00
loop_
_symmetry_equiv_pos_as_xyz
'x,y,z'
loop_
_atom_site_label
_atom_site_fract_x
_atom_site_fract_y
_atom_site_fract_z
_atom_site_occupancy
Be1 0.750 0.250 0.500 1
Be2 0.250 0.750 0.500 1
Tl1 0.000 0.000 0.000 1
Bi1 0.355 0.355 0.290 1
Bi2 0.645 0.645 0.710 1
```


# 2
TaPtSe4: relaxed, PBE-GGA.

The energy relative to the lowest polymorph listed for this composition is 1512.2 meV/atom. As for the total magnetic moment: 0.6 μB/cell. The value obtained for the volume is 115.5 Å³ per cell. The space group is F-43m (216). Its formation energy without anion corrections is 1.025 eV/atom.

The structure in CIF format:
```
data_TaPtSe4
_chemical_formula_sum 'Ta1 Pt1 Se4'
_symmetry_space_group_name_H-M 'P 1'
_symmetry_Int_Tables_number 1
_cell_length_a 5.466
_cell_length_b 5.466
_cell_length_c 5.466
_cell_angle_alpha 60.00
_cell_angle_beta 60.00
_cell_angle_gamma 60.00
loop_
_symmetry_equiv_pos_as_xyz
'x,y,z'
loop_
_atom_site_label
_atom_site_fract_x
_atom_site_fract_y
_atom_site_fract_z
_atom_site_occupancy
Ta1 0.750 0.750 0.750 1
Pt1 0.000 0.000 0.000 1
Se1 0.875 0.375 0.375 1
Se2 0.375 0.375 0.875 1
Se3 0.375 0.875 0.375 1
Se4 0.375 0.375 0.375 1
```


# 3
LaTmBeZn: relaxed, PBE-GGA.

The calculated formation energy is -0.049 eV per atom. As for the total magnetic moment: 0.0 μB/cell. The value obtained for the volume is 91.3 Å³ per cell. The space group is F-43m (216).

The structure in CIF format:
```
data_LaTmBeZn
_chemical_formula_sum 'La1 Tm1 Be1 Zn1'
_symmetry_space_group_name_H-M 'P 1'
_symmetry_Int_Tables_number 1
_cell_length_a 5.054
_cell_length_b 5.054
_cell_length_c 5.054
_cell_angle_alpha 60.00
_cell_angle_beta 60.00
_cell_angle_gamma 60.00
loop_
_symmetry_equiv_pos_as_xyz
'x,y,z'
loop_
_atom_site_label
_atom_site_fract_x
_atom_site_fract_y
_atom_site_fract_z
_atom_site_occupancy
Be1 0.250 0.250 0.250 1
Zn1 0.750 0.750 0.750 1
Tm1 0.500 0.500 0.500 1
La1 0.000 0.000 0.000 1
```


# 4
AgRh4: relaxed, PBE-GGA.

The calculated formation energy is 0.124 eV per atom. The energy relative to the lowest polymorph listed for this composition is 0.0 meV/atom. As for the total magnetic moment: 0.0 μB/cell. The value obtained for the volume is 74.4 Å³ per cell. The space group is I4/mmm (139).

The structure in CIF format:
```
data_AgRh4
_chemical_formula_sum 'Ag1 Rh4'
_symmetry_space_group_name_H-M 'P 1'
_symmetry_Int_Tables_number 1
_cell_length_a 10.089
_cell_length_b 10.089
_cell_length_c 10.089
_cell_angle_alpha 164.39
_cell_angle_beta 164.39
_cell_angle_gamma 22.15
loop_
_symmetry_equiv_pos_as_xyz
'x,y,z'
loop_
_atom_site_label
_atom_site_fract_x
_atom_site_fract_y
_atom_site_fract_z
_atom_site_occupancy
Ag1 0.000 0.000 0.000 1
Rh1 0.392 0.392 0.000 1
Rh2 0.798 0.798 0.000 1
Rh3 0.202 0.202 0.000 1
Rh4 0.608 0.608 0.000 1
```